No. 1
A relaxed KLiTb2Mo4O16 crystal. Source: Alexandria, functional GGA-PBEsol.

a b c (Å): 5.1720 12.4958 19.3447
angles (deg): 90.00 93.52 90.00
Space group C2/c (No. 15)
Asymmetric unit:
K 0.0000 0.0337 0.2500 (multiplicity 4)
Li 0.0000 0.3148 0.2500 (multiplicity 4)
Tb 0.0011 0.1468 0.4677 (multiplicity 8)
Mo 0.0099 0.2536 0.6477 (multiplicity 8)
Mo 0.0170 0.4380 0.0925 (multiplicity 8)
O 0.1158 0.4091 0.3294 (multiplicity 8)
O 0.1361 0.1344 0.8288 (multiplicity 8)
O 0.1616 0.3311 0.0422 (multiplicity 8)
O 0.1794 0.2370 0.5673 (multiplicity 8)
O 0.2244 0.4511 0.6019 (multiplicity 8)
O 0.2285 0.2927 0.7144 (multiplicity 8)
O 0.2398 0.0187 0.5373 (multiplicity 8)
O 0.2468 0.3470 0.8677 (multiplicity 8)

Values from the calculation:
ΔE_f (raw) = -2.454 eV/atom
N(E_F) = 0.00 states/eV per atom
calculated volume = 13.0 Å³/atom

=====

No. 2
A relaxed MnMoIr2 crystal. Source: Alexandria, functional GGA-PBEsol.

a b c (Å): 5.3745 7.5344 2.6982
angles (deg): 90.00 90.00 90.00
Space group Cmmm (No. 65)
Asymmetric unit:
Mn 0.0000 0.0000 0.0000 (multiplicity 2)
Mo 0.0000 0.5000 0.0000 (multiplicity 2)
Ir 0.2500 0.2500 0.5000 (multiplicity 4)

Values from the calculation:
energy of formation = -0.17 eV per atom
N(E_F) = 0.89 states/eV per atom
ΔE to the lowest computed polymorph = 0.250 eV per formula unit
calculated volume = 13.7 Å³/atom

=====

No. 3
A relaxed RbYGa2 crystal. Source: Alexandria, functional GGA-PBEsol.

a b c (Å): 7.5130 7.5130 7.5130
angles (deg): 90.00 90.00 90.00
Space group Fm-3m (No. 225)
Asymmetric unit:
Rb 0.0000 0.0000 0.0000 (multiplicity 4)
Y 0.0000 0.0000 0.5000 (multiplicity 4)
Ga 0.2500 0.2500 0.2500 (multiplicity 8)

Values from the calculation:
energy of formation = 0.10 eV per atom
N(E_F) = 0.59 states/eV per atom
calculated volume = 26.5 Å³/atom

=====

- N(E_F) of number 1 (KLiTb2Mo4O16)?
  0.00 states/eV per atom